The following is a PBE calculation of a relaxed structure of CaSi3Ru5, from Alexandria.

Final energy = -7.54 eV per atom
N(E_F) = 31.00 states/eV per cell

Cell lengths 3.0093, 13.2640, 13.8807 Å; angles 90.00, 90.00, 90.00 degrees
Space group Cmcm (No. 63)
Unique sites:
Ca (0.0000, 0.1558, 0.2500) (multiplicity 4)
Si (0.0000, 0.1453, 0.7500) (multiplicity 4)
Si (0.0000, 0.3690, 0.5537) (multiplicity 8)
Ru (0.0000, 0.0000, 0.0000) (multiplicity 4)
Ru (0.0000, 0.1929, 0.5789) (multiplicity 8)
Ru (0.0000, 0.4650, 0.1565) (multiplicity 8)